VASP calculation (PBE) on a geometry-optimized Pa3SiH structure.

a b c (Å): 4.529 4.529 4.529
angles (deg): 90.00 90.00 90.00
Atoms (fractional coordinates):
1 H 0.000 0.000 0.000
2 Si 0.500 0.500 0.500
3 Pa 0.000 0.500 0.000
4 Pa 0.000 0.000 0.500
5 Pa 0.500 0.000 0.000

Computed properties:
- total energy (eV/f.u.) = -38.6
- D(E_F) (states/eV/cell) = 8.29
- space-group type = Pm-3m


VASP calculation (PBE) on a geometry-optimized KNa2Sn2 structure.

a b c (Å): 5.428 5.428 7.272
angles (deg): 68.09 68.09 90.00
Atoms (fractional coordinates):
1 Na 0.750 0.250 0.500
2 Na 0.250 0.750 0.500
3 K 0.000 0.000 0.000
4 Sn 0.391 0.391 0.218
5 Sn 0.609 0.609 0.782

Computed properties:
- D(E_F) (states/eV/cell) = 1.99
- space-group type = I4/mmm
- energy relative to the elements (eV/atom) = -0.13
- polymorph energy (0 for the lowest one) (meV per atom) = 41.5


VASP calculation (PBE) on a geometry-optimized La6CdIr3 structure.

a b c (Å): 4.294 12.405 12.428
angles (deg): 109.24 90.00 90.00
Atoms (fractional coordinates):
1 La 0.750 0.466 0.605
2 La 0.250 0.534 0.395
3 La 0.750 0.930 0.088
4 La 0.250 0.070 0.912
5 La 0.750 0.392 0.051
6 La 0.250 0.608 0.949
7 La 0.750 0.704 0.261
8 La 0.250 0.296 0.739
9 La 0.750 0.147 0.459
10 La 0.250 0.853 0.541
11 La 0.750 0.779 0.767
12 La 0.250 0.221 0.233
13 Cd 0.750 0.057 0.696
14 Cd 0.250 0.943 0.304
15 Ir 0.750 0.454 0.835
16 Ir 0.250 0.546 0.165
17 Ir 0.750 0.687 0.501
18 Ir 0.250 0.313 0.499
19 Ir 0.750 0.159 0.076
20 Ir 0.250 0.841 0.924

Computed properties:
- D(E_F) (states/eV/cell) = 15.41
- space-group type = P2_1/m
- energy relative to the elements (eV/atom) = -0.60